Li3Er2PuSe6 (PBE, relaxed); E_form (uncorrected) = -1828 kJ/mol of formula units; SG = C2/m; uncorrected energy = -5.75 eV per atom; magnetic moment = 0.42 μB/atom; V = 23.285 A^3/atom
1.0
3.531 -6.115 0.000
3.531 6.115 0.000
-2.352 0.000 6.471
Li Er Pu Se
3 2 1 6
direct
0.000 0.000 0.000
0.333 0.667 0.000
0.667 0.333 0.000
0.167 0.833 0.500
0.833 0.167 0.500
0.500 0.500 0.500
0.076 0.416 0.247
0.245 0.245 0.753
0.416 0.076 0.247
0.584 0.924 0.753
0.755 0.755 0.247
0.924 0.584 0.753

---

LiErPu2Se4 (PBE, relaxed); E_form (uncorrected) = -1184 kJ/mol of formula units; SG = P2/m; uncorrected energy = -7.67 eV per atom; magnetic moment = 0.01 μB/atom; V = 24.194 A^3/atom
1.0
7.050 0.000 0.000
0.000 4.097 0.000
-2.424 0.000 6.700
Li Er Pu Se
1 1 2 4
direct
0.000 0.000 0.000
0.000 0.500 0.500
0.500 0.000 0.500
0.500 0.500 0.000
0.237 0.500 0.246
0.239 0.000 0.750
0.761 0.000 0.250
0.763 0.500 0.754

---

LiEr3Pu3Se8 (PBE, relaxed); E_form (uncorrected) = -2339 kJ/mol of formula units; SG = R-3m; uncorrected energy = -7.38 eV per atom; magnetic moment = 1.14 μB/atom; V = 25.513 A^3/atom
1.0
4.070 2.350 6.668
-4.070 2.350 6.668
0.000 -4.700 6.668
Li Er Pu Se
1 3 3 8
direct
0.000 0.000 0.000
0.000 0.500 0.500
0.500 0.000 0.500
0.500 0.500 0.000
0.000 0.000 0.500
0.000 0.500 0.000
0.500 0.000 0.000
0.247 0.247 0.747
0.247 0.747 0.247
0.252 0.252 0.252
0.253 0.753 0.753
0.747 0.247 0.247
0.748 0.748 0.748
0.753 0.253 0.753
0.753 0.753 0.253

---

LiEr3Pu2Se6 (PBE, relaxed); E_form (uncorrected) = -1902 kJ/mol of formula units; SG = C2/m; uncorrected energy = -7.07 eV per atom; magnetic moment = 0.99 μB/atom; V = 23.886 A^3/atom
1.0
3.518 -6.099 0.000
3.518 6.099 0.000
-2.353 0.000 6.679
Li Er Pu Se
1 3 2 6
direct
0.000 0.000 0.000
0.169 0.831 0.500
0.500 0.500 0.500
0.831 0.169 0.500
0.334 0.666 0.000
0.666 0.334 0.000
0.084 0.409 0.254
0.240 0.240 0.745
0.409 0.084 0.254
0.591 0.916 0.746
0.760 0.760 0.255
0.916 0.591 0.746

---

Li2ErPuSe4 (PBE, relaxed); E_form (uncorrected) = -1183 kJ/mol of formula units; SG = P2/m; uncorrected energy = -6.12 eV per atom; magnetic moment = 0.63 μB/atom; V = 23.394 A^3/atom
1.0
6.888 0.000 0.000
0.000 4.088 0.000
-2.450 0.000 6.646
Li Er Pu Se
2 1 1 4
direct
0.000 0.000 0.000
0.000 0.500 0.500
0.500 0.000 0.500
0.500 0.500 0.000
0.246 0.500 0.254
0.247 0.000 0.744
0.753 0.000 0.256
0.754 0.500 0.746

---

LiErPuTc (PBE, relaxed); E_form = 0.08 eV/atom; SG = F-43m; uncorrected energy = -7.72 eV per atom; magnetic moment = 1.19 μB/atom; V = 20.429 A^3/atom
1.0
0.000 3.444 3.444
3.444 0.000 3.444
3.444 3.444 0.000
Li Er Pu Tc
1 1 1 1
direct
0.000 0.000 0.000
0.250 0.250 0.250
0.750 0.750 0.750
0.500 0.500 0.500

---

LiErPu2Te5 (PBE, relaxed); E_form (uncorrected) = -904 kJ/mol of formula units; SG = P1; uncorrected energy = -6.69 eV per atom; magnetic moment = 0.55 μB/atom; V = 29.359 A^3/atom
1.0
4.355 0.000 0.000
-2.177 9.269 0.000
0.000 -0.024 13.092
Li Er Pu Te
2 2 4 10
direct
0.000 0.000 0.000
0.119 0.235 0.500
0.359 0.717 0.949
0.759 0.517 0.449
0.434 0.867 0.655
0.452 0.902 0.278
0.666 0.330 0.776
0.685 0.368 0.156
0.056 0.111 0.682
0.062 0.122 0.183
0.196 0.390 0.958
0.249 0.496 0.613
0.274 0.547 0.288
0.512 0.023 0.888
0.607 0.211 0.387
0.844 0.687 0.787
0.870 0.739 0.113
0.923 0.845 0.459

---

LiEr2PuTe4 (PBE, relaxed); E_form (uncorrected) = -942 kJ/mol of formula units; SG = P2/m; uncorrected energy = -5.96 eV per atom; magnetic moment = 0.75 μB/atom; V = 29.147 A^3/atom
1.0
7.533 0.000 0.000
0.000 4.332 0.000
-2.520 0.000 7.146
Li Er Pu Te
1 2 1 4
direct
0.000 0.000 0.000
0.000 0.500 0.500
0.500 0.000 0.500
0.500 0.500 0.000
0.242 0.000 0.747
0.243 0.500 0.250
0.757 0.500 0.750
0.758 0.000 0.253

---

Li2ErPuTe4 (PBE, relaxed); E_form (uncorrected) = -876 kJ/mol of formula units; SG = P2/m; uncorrected energy = -5.55 eV per atom; magnetic moment = 0.62 μB/atom; V = 28.951 A^3/atom
1.0
7.466 0.000 0.000
0.000 4.364 0.000
-2.565 0.000 7.108
Li Er Pu Te
2 1 1 4
direct
0.000 0.000 0.000
0.000 0.500 0.500
0.500 0.000 0.500
0.500 0.500 0.000
0.244 0.000 0.743
0.245 0.500 0.254
0.755 0.500 0.746
0.756 0.000 0.257

---

LiErPu2Te4 (PBE, relaxed); E_form (uncorrected) = -885 kJ/mol of formula units; SG = P2/m; uncorrected energy = -7.11 eV per atom; magnetic moment = 1.46 μB/atom; V = 29.693 A^3/atom
1.0
7.571 0.000 0.000
0.000 4.381 0.000
-2.524 0.000 7.162
Li Er Pu Te
1 1 2 4
direct
0.000 0.000 0.000
0.000 0.500 0.500
0.500 0.000 0.500
0.500 0.500 0.000
0.237 0.500 0.244
0.239 0.000 0.750
0.761 0.000 0.250
0.763 0.500 0.756

---

LiErPuTl (PBE, relaxed); E_form = 0.04 eV/atom; SG = F-43m; uncorrected energy = -5.75 eV per atom; magnetic moment = 1.57 μB/atom; V = 26.208 A^3/atom
1.0
0.000 3.742 3.742
3.742 0.000 3.742
3.742 3.742 0.000
Li Er Pu Tl
1 1 1 1
direct
0.000 0.000 0.000
0.750 0.750 0.750
0.250 0.250 0.250
0.500 0.500 0.500

---

Li2ErPuTl4 (PBE, relaxed); E_form = -0.20 eV/atom; SG = R-3m; uncorrected energy = -4.22 eV per atom; magnetic moment = 0.70 μB/atom; V = 24.853 A^3/atom
1.0
2.598 1.500 8.505
-2.598 1.500 8.505
0.000 -3.000 8.505
Li Er Pu Tl
2 1 1 4
direct
0.249 0.249 0.249
0.751 0.751 0.751
0.500 0.500 0.500
0.000 0.000 0.000
0.126 0.126 0.126
0.376 0.376 0.376
0.624 0.624 0.624
0.874 0.874 0.874